(1)
VASP calculation (PBE) on crystalline Li2Th2Fe15 at its relaxed geometry.

Results
Space-group type ... No. 166

Cell: 6.4231 6.4231 6.4231 Å, 83.34 83.34 83.34°
Closest atoms and distances in Å follow each position.
Positions (direct):
Li 0.0898 0.0898 0.0898  1 Li 2.22
Li 0.9102 0.9102 0.9102  1 Li 2.22
Th 0.3424 0.3424 0.3424  18 Fe 2.95-3.28, 1 Li 3.12
Th 0.6576 0.6576 0.6576  18 Fe 2.95-3.28, 1 Li 3.12
Fe 0.0000 0.0000 0.5000  8 Fe 2.46, 2 Li 2.64
Fe 0.0000 0.3111 0.6889  8 Fe 2.46-2.66
Fe 0.0000 0.5000 0.0000  8 Fe 2.46, 2 Li 2.64
Fe 0.0000 0.6889 0.3111  8 Fe 2.46-2.66
Fe 0.1601 0.6636 0.6636  8 Fe 2.46-2.57, 1 Li 2.65
Fe 0.3111 0.0000 0.6889  8 Fe 2.46-2.66
Fe 0.3111 0.6889 0.0000  8 Fe 2.46-2.66
Fe 0.3364 0.3364 0.8399  8 Fe 2.46-2.57, 1 Li 2.65
Fe 0.3364 0.8399 0.3364  8 Fe 2.46-2.57, 1 Li 2.65
Fe 0.5000 0.0000 0.0000  8 Fe 2.46, 2 Li 2.64
Fe 0.6636 0.1601 0.6636  8 Fe 2.46-2.57, 1 Li 2.65
Fe 0.6636 0.6636 0.1601  8 Fe 2.46-2.57, 1 Li 2.65
Fe 0.6889 0.0000 0.3111  8 Fe 2.46-2.66
Fe 0.6889 0.3111 0.0000  8 Fe 2.46-2.66
Fe 0.8399 0.3364 0.3364  8 Fe 2.46-2.57, 1 Li 2.65


(2)
VASP calculation (PBE) on crystalline CoOs2Ru at its relaxed geometry.

Results
Space-group type ... No. 47

Cell: 2.6745 3.7727 5.2904 Å, 90.00 90.00 90.00°
Closest atoms and distances in Å follow each position.
Positions (direct):
Co 0.0000 0.0000 0.0000  8 Os 2.64, 2 Ru 2.65, 2 Co 2.67
Os 0.5000 0.5000 0.2404  4 Os 2.54-2.75, 4 Co 2.64, 4 Ru 2.69
Os 0.5000 0.5000 0.7596  4 Os 2.54-2.75, 4 Co 2.64, 4 Ru 2.69
Ru 0.0000 0.0000 0.5000  2 Co 2.65, 2 Ru 2.67, 8 Os 2.69


(3)
VASP calculation (PBE) on crystalline KSiTe at its relaxed geometry.

Results
Space-group type ... No. 216
Energy relative to the elements, uncorrected ... 197 meV/atom

Cell: 5.1841 5.1841 5.1841 Å, 60.00 60.00 60.00°
Closest atoms and distances in Å follow each position.
Positions (direct):
K 0.0000 0.0000 0.0000  4 Si 3.17
Si 0.2500 0.2500 0.2500  4 Te 3.17, 4 K 3.17
Te 0.5000 0.5000 0.5000  4 Si 3.17


Here are the calculated total energy numbers, same order: -7.638 -9.564 -3.024 (eV/atom).